# Sr3RhW

A relaxed structure of Sr3RhW (PBE-GGA, the Alexandria database).

Cell lengths 5.666, 5.666, 5.666 Å; angles 90.00, 90.00, 90.00 degrees
Positions (direct):
Sr 0.000 0.000 0.500
Sr 0.000 0.500 0.000
Sr 0.500 0.000 0.000
Rh 0.500 0.500 0.500
W 0.000 0.000 0.000

## Properties
* SG: Pm-3m (221)
* formation energy from the elements: 1474 meV/atom
* DFT total energy: -17.978 eV for the cell shown